# 1
Below is an optimized crystal structure of GaCu2HPt, with properties calculated at the PBE-GGA level.

Structure (CIF):
```
data_GaCu2HPt
_space_group_name_H-M_alt 'P 4/m m m'
_space_group_IT_number 123
_space_group_name_Hall '-P 4 2'
_cell_length_a 3.8623
_cell_length_b 3.8623
_cell_length_c 3.8776
_cell_angle_alpha 90.00
_cell_angle_beta 90.00
_cell_angle_gamma 90.00
loop_
_atom_site_label
_atom_site_fract_x
_atom_site_fract_y
_atom_site_fract_z
_atom_site_occupancy
Ga1 0.0000 0.0000 0.0000 1
Cu1 0.0000 0.5000 0.5000 1
H1 0.5000 0.5000 0.5000 1
Pt1 0.5000 0.5000 0.0000 1
```

Properties
Its energy above the lowest structure with this stoichiometry is 0.0 meV per atom. For the mass density, the calculation gives 11.3 g/cm³. Its density of states at the Fermi level is 0.30 states/eV per atom.


# 2
Below is an optimized crystal structure of Ga2CuHPt, with properties calculated at the PBE-GGA level.

Structure (CIF):
```
data_Ga2CuHPt
_space_group_name_H-M_alt 'P 4/m m m'
_space_group_IT_number 123
_space_group_name_Hall '-P 4 2'
_cell_length_a 4.7931
_cell_length_b 4.7931
_cell_length_c 4.8530
_cell_angle_alpha 90.00
_cell_angle_beta 90.00
_cell_angle_gamma 90.00
loop_
_atom_site_label
_atom_site_fract_x
_atom_site_fract_y
_atom_site_fract_z
_atom_site_occupancy
Ga1 0.0000 0.5000 0.0000 1
Cu1 0.0000 0.0000 0.5000 1
H1 0.5000 0.5000 0.5000 1
Pt1 0.0000 0.0000 0.0000 1
```

Properties
For the mass density, the calculation gives 5.9 g/cm³. Its total DFT energy (no corrections) is -0.2550 Ry/atom. Its density of states at the Fermi level is 0.46 states/eV per atom.


# 3
Below is an optimized crystal structure of GaCu2HPt, with properties calculated at the PBE-GGA level.

Structure (CIF):
```
data_GaCu2HPt
_space_group_name_H-M_alt 'P 4/m m m'
_space_group_IT_number 123
_space_group_name_Hall '-P 4 2'
_cell_length_a 3.6588
_cell_length_b 3.6588
_cell_length_c 4.3269
_cell_angle_alpha 90.00
_cell_angle_beta 90.00
_cell_angle_gamma 90.00
loop_
_atom_site_label
_atom_site_fract_x
_atom_site_fract_y
_atom_site_fract_z
_atom_site_occupancy
Ga1 0.0000 0.0000 0.0000 1
Cu1 0.0000 0.5000 0.5000 1
H1 0.0000 0.0000 0.5000 1
Pt1 0.5000 0.5000 0.0000 1
```

Properties
Its energy above the lowest structure with this stoichiometry is 8.8 meV per atom. For the mass density, the calculation gives 11.3 g/cm³. Its density of states at the Fermi level is 0.18 states/eV per atom.


# 4
Below is an optimized crystal structure of PuGaCu2H, with properties calculated at the PBE-GGA level.

Structure (CIF):
```
data_PuGaCu2H
_space_group_name_H-M_alt 'C m c m'
_space_group_IT_number 63
_space_group_name_Hall '-C 2c 2'
_cell_length_a 3.9936
_cell_length_b 10.7851
_cell_length_c 6.7854
_cell_angle_alpha 90.00
_cell_angle_beta 90.00
_cell_angle_gamma 90.00
loop_
_atom_site_label
_atom_site_fract_x
_atom_site_fract_y
_atom_site_fract_z
_atom_site_occupancy
Pu1 0.0000 0.0562 0.2500 1
Ga1 0.0000 0.2257 0.7500 1
Cu1 0.0000 0.3405 0.0622 1
H1 0.0000 0.5000 0.0000 1
```

Properties
For the mass density, the calculation gives 10.0 g/cm³. Its total DFT energy (no corrections) is -0.4370 Ry/atom. Its density of states at the Fermi level is 1.95 states/eV per atom.


# 5
Below is an optimized crystal structure of RbGa2CuH, with properties calculated at the PBE-GGA level.

Structure (CIF):
```
data_RbGa2CuH
_space_group_name_H-M_alt 'P 4/m m m'
_space_group_IT_number 123
_space_group_name_Hall '-P 4 2'
_cell_length_a 4.5555
_cell_length_b 4.5555
_cell_length_c 5.1149
_cell_angle_alpha 90.00
_cell_angle_beta 90.00
_cell_angle_gamma 90.00
loop_
_atom_site_label
_atom_site_fract_x
_atom_site_fract_y
_atom_site_fract_z
_atom_site_occupancy
Rb1 0.0000 0.0000 0.0000 1
Ga1 0.0000 0.5000 0.5000 1
Cu1 0.5000 0.5000 0.0000 1
H1 0.5000 0.5000 0.5000 1
```

Properties
For the mass density, the calculation gives 4.5 g/cm³. Its total DFT energy (no corrections) is -0.1709 Ry/atom. Its density of states at the Fermi level is 0.43 states/eV per atom.


# 6
Below is an optimized crystal structure of GaCu2HRh, with properties calculated at the PBE-GGA level.

Structure (CIF):
```
data_GaCu2HRh
_space_group_name_H-M_alt 'P 4/m m m'
_space_group_IT_number 123
_space_group_name_Hall '-P 4 2'
_cell_length_a 3.7848
_cell_length_b 3.7848
_cell_length_c 3.8616
_cell_angle_alpha 90.00
_cell_angle_beta 90.00
_cell_angle_gamma 90.00
loop_
_atom_site_label
_atom_site_fract_x
_atom_site_fract_y
_atom_site_fract_z
_atom_site_occupancy
Ga1 0.0000 0.0000 0.0000 1
Cu1 0.0000 0.5000 0.5000 1
H1 0.5000 0.5000 0.5000 1
Rh1 0.5000 0.5000 0.0000 1
```

Properties
Its energy above the lowest structure with this stoichiometry is 0.0 meV per atom. For the mass density, the calculation gives 9.0 g/cm³. Its density of states at the Fermi level is 0.38 states/eV per atom.


# 7
Below is an optimized crystal structure of GaCu2HRh, with properties calculated at the PBE-GGA level.

Structure (CIF):
```
data_GaCu2HRh
_space_group_name_H-M_alt 'P 4/m m m'
_space_group_IT_number 123
_space_group_name_Hall '-P 4 2'
_cell_length_a 3.5970
_cell_length_b 3.5970
_cell_length_c 4.3470
_cell_angle_alpha 90.00
_cell_angle_beta 90.00
_cell_angle_gamma 90.00
loop_
_atom_site_label
_atom_site_fract_x
_atom_site_fract_y
_atom_site_fract_z
_atom_site_occupancy
Ga1 0.0000 0.0000 0.0000 1
Cu1 0.0000 0.5000 0.5000 1
H1 0.0000 0.0000 0.5000 1
Rh1 0.5000 0.5000 0.0000 1
```

Properties
Its energy above the lowest structure with this stoichiometry is 120.5 meV per atom. For the mass density, the calculation gives 8.9 g/cm³. Its density of states at the Fermi level is 0.53 states/eV per atom.


# 8
Below is an optimized crystal structure of GaCu2HRu, with properties calculated at the PBE-GGA level.

Structure (CIF):
```
data_GaCu2HRu
_space_group_name_H-M_alt 'P 4/m m m'
_space_group_IT_number 123
_space_group_name_Hall '-P 4 2'
_cell_length_a 3.7509
_cell_length_b 3.7509
_cell_length_c 3.8967
_cell_angle_alpha 90.00
_cell_angle_beta 90.00
_cell_angle_gamma 90.00
loop_
_atom_site_label
_atom_site_fract_x
_atom_site_fract_y
_atom_site_fract_z
_atom_site_occupancy
Ga1 0.0000 0.0000 0.0000 1
Cu1 0.0000 0.5000 0.5000 1
H1 0.5000 0.5000 0.5000 1
Ru1 0.5000 0.5000 0.0000 1
```

Properties
For the mass density, the calculation gives 9.1 g/cm³. Its total DFT energy (no corrections) is -0.3563 Ry/atom. Its density of states at the Fermi level is 0.26 states/eV per atom.


# 9
Below is an optimized crystal structure of GaCuHSe2, with properties calculated at the PBE-GGA level.

Structure (CIF):
```
data_GaCuHSe2
_space_group_name_H-M_alt 'P 4/m m m'
_space_group_IT_number 123
_space_group_name_Hall '-P 4 2'
_cell_length_a 5.0636
_cell_length_b 5.0636
_cell_length_c 3.1781
_cell_angle_alpha 90.00
_cell_angle_beta 90.00
_cell_angle_gamma 90.00
loop_
_atom_site_label
_atom_site_fract_x
_atom_site_fract_y
_atom_site_fract_z
_atom_site_occupancy
Ga1 0.0000 0.0000 0.0000 1
Cu1 0.5000 0.5000 0.0000 1
H1 0.5000 0.5000 0.5000 1
Se1 0.0000 0.5000 0.5000 1
```

Properties
For the mass density, the calculation gives 6.0 g/cm³. Its total DFT energy (no corrections) is -0.2310 Ry/atom. Its density of states at the Fermi level is 0.45 states/eV per atom.


# 10
Below is an optimized crystal structure of Ti2GaCuH, with properties calculated at the PBE-GGA level.

Structure (CIF):
```
data_Ti2GaCuH
_space_group_name_H-M_alt 'P 4/m m m'
_space_group_IT_number 123
_space_group_name_Hall '-P 4 2'
_cell_length_a 3.9944
_cell_length_b 3.9944
_cell_length_c 3.8626
_cell_angle_alpha 90.00
_cell_angle_beta 90.00
_cell_angle_gamma 90.00
loop_
_atom_site_label
_atom_site_fract_x
_atom_site_fract_y
_atom_site_fract_z
_atom_site_occupancy
Ti1 0.0000 0.5000 0.0000 1
Ga1 0.0000 0.0000 0.5000 1
Cu1 0.5000 0.5000 0.5000 1
H1 0.5000 0.5000 0.0000 1
```

Properties
Its energy above the lowest structure with this stoichiometry is 0.0 meV per atom. For the mass density, the calculation gives 6.2 g/cm³. Its density of states at the Fermi level is 0.53 states/eV per atom.


# 11
Below is an optimized crystal structure of Ti2GaCuH, with properties calculated at the PBE-GGA level.

Structure (CIF):
```
data_Ti2GaCuH
_space_group_name_H-M_alt 'P 4/m m m'
_space_group_IT_number 123
_space_group_name_Hall '-P 4 2'
_cell_length_a 3.8826
_cell_length_b 3.8826
_cell_length_c 4.1517
_cell_angle_alpha 90.00
_cell_angle_beta 90.00
_cell_angle_gamma 90.00
loop_
_atom_site_label
_atom_site_fract_x
_atom_site_fract_y
_atom_site_fract_z
_atom_site_occupancy
Ti1 0.0000 0.5000 0.0000 1
Ga1 0.0000 0.0000 0.5000 1
Cu1 0.5000 0.5000 0.5000 1
H1 0.0000 0.0000 0.0000 1
```

Properties
Its energy above the lowest structure with this stoichiometry is 157.6 meV per atom. For the mass density, the calculation gives 6.1 g/cm³. Its density of states at the Fermi level is 0.74 states/eV per atom.


# 12
Below is an optimized crystal structure of VGaCu2H, with properties calculated at the PBE-GGA level.

Structure (CIF):
```
data_VGaCu2H
_space_group_name_H-M_alt 'P 4/m m m'
_space_group_IT_number 123
_space_group_name_Hall '-P 4 2'
_cell_length_a 3.7518
_cell_length_b 3.7518
_cell_length_c 3.8803
_cell_angle_alpha 90.00
_cell_angle_beta 90.00
_cell_angle_gamma 90.00
loop_
_atom_site_label
_atom_site_fract_x
_atom_site_fract_y
_atom_site_fract_z
_atom_site_occupancy
V1 0.0000 0.0000 0.0000 1
Ga1 0.5000 0.5000 0.0000 1
Cu1 0.0000 0.5000 0.5000 1
H1 0.0000 0.0000 0.5000 1
```

Properties
For the mass density, the calculation gives 7.6 g/cm³. Its total DFT energy (no corrections) is -0.3509 Ry/atom. Its density of states at the Fermi level is 0.30 states/eV per atom.